VASP calculation (GGA-PBE) on an optimized crystal structure of CePm5Tl6.

Unit cell a=5.5156 b=7.7142 c=8.7304 alpha=90.00 beta=71.59 gamma=90.00
With the nearest neighbours (Å) after each atom.
Fractional positions:
Pm 0.0000 0.5000 0.0000  8 Tl 3.36-3.37
Pm 0.3348 0.5000 0.3305  8 Tl 3.35-3.36
Pm 0.6671 0.0000 0.6658  8 Tl 3.36-3.38
Pm 0.3329 0.0000 0.3342  8 Tl 3.36-3.38
Pm 0.6652 0.5000 0.6695  8 Tl 3.35-3.36
Tl 0.1677 0.2520 0.6646  7 Pm 3.36-3.37, 1 Ce 3.39
Tl 0.5000 0.2505 0.0000  6 Pm 3.35-3.38, 2 Ce 3.37
Tl 0.1677 0.7480 0.6646  7 Pm 3.36-3.37, 1 Ce 3.39
Tl 0.5000 0.7495 0.0000  6 Pm 3.35-3.38, 2 Ce 3.37
Tl 0.8323 0.7480 0.3354  7 Pm 3.36-3.37, 1 Ce 3.39
Tl 0.8323 0.2520 0.3354  7 Pm 3.36-3.37, 1 Ce 3.39
Ce 0.0000 0.0000 0.0000  8 Tl 3.37-3.39

Computed properties:
Its volume is 352.4 Å³ per cell. Its formation energy is -0.356 eV/atom. The total energy comes out at -4.013 eV/atom. As for the space group: No. 65.

***

VASP calculation (GGA-PBE) on an optimized crystal structure of CePm4Tl4.

Unit cell a=6.3324 b=9.2245 c=9.2245 alpha=90.00 beta=90.00 gamma=90.00
With the nearest neighbours (Å) after each atom.
Fractional positions:
Tl 0.6110 0.1009 0.7901  5 Pm 3.25-3.43, 1 Ce 3.27, 3 Tl 3.35
Tl 0.3890 0.7901 0.8991  5 Pm 3.25-3.43, 1 Ce 3.27, 3 Tl 3.35
Tl 0.1110 0.7099 0.6009  5 Pm 3.25-3.43, 1 Ce 3.27, 3 Tl 3.35
Tl 0.3890 0.2099 0.1009  5 Pm 3.25-3.43, 1 Ce 3.27, 3 Tl 3.35
Tl 0.8890 0.6009 0.2901  5 Pm 3.25-3.43, 1 Ce 3.27, 3 Tl 3.35
Tl 0.6110 0.8991 0.2099  5 Pm 3.25-3.43, 1 Ce 3.27, 3 Tl 3.35
Tl 0.1110 0.2901 0.3991  5 Pm 3.25-3.43, 1 Ce 3.27, 3 Tl 3.35
Tl 0.8890 0.3991 0.7099  5 Pm 3.25-3.43, 1 Ce 3.27, 3 Tl 3.35
Ce 0.0000 0.0000 0.0000  4 Pm 3.17, 4 Tl 3.27
Ce 0.5000 0.5000 0.5000  4 Pm 3.17, 4 Tl 3.27
Pm 0.3764 0.5705 0.1749  1 Ce 3.17, 5 Tl 3.25-3.43, 1 Pm 3.48
Pm 0.8764 0.3251 0.0705  1 Ce 3.17, 5 Tl 3.25-3.43, 1 Pm 3.48
Pm 0.6236 0.1749 0.4295  1 Ce 3.17, 5 Tl 3.25-3.43, 1 Pm 3.48
Pm 0.1236 0.9295 0.3251  1 Ce 3.17, 5 Tl 3.25-3.43, 1 Pm 3.48
Pm 0.1236 0.0705 0.6749  1 Ce 3.17, 5 Tl 3.25-3.43, 1 Pm 3.48
Pm 0.6236 0.8251 0.5705  1 Ce 3.17, 5 Tl 3.25-3.43, 1 Pm 3.48
Pm 0.3764 0.4295 0.8251  1 Ce 3.17, 5 Tl 3.25-3.43, 1 Pm 3.48
Pm 0.8764 0.6749 0.9295  1 Ce 3.17, 5 Tl 3.25-3.43, 1 Pm 3.48

Computed properties:
Its volume is 538.8 Å³ per cell. Its formation energy is -0.165 eV/atom. The total energy comes out at -3.987 eV/atom. As for the space group: No. 86.

***

VASP calculation (GGA-PBE) on an optimized crystal structure of CePm2Tl4.

Unit cell a=4.9368 b=4.9368 c=10.8128 alpha=76.80 beta=76.80 gamma=60.00
With the nearest neighbours (Å) after each atom.
Fractional positions:
Pm 0.8713 0.8713 0.3860  3 Tl 3.14
Pm 0.1287 0.1287 0.6140  3 Tl 3.14
Ce 0.0000 0.0000 0.0000  6 Tl 3.25
Tl 0.3831 0.3831 0.8508  3 Tl 3.08, 3 Ce 3.25
Tl 0.7535 0.7535 0.7394  3 Tl 3.08, 3 Pm 3.14
Tl 0.2465 0.2465 0.2606  3 Tl 3.08, 3 Pm 3.14
Tl 0.6169 0.6169 0.1492  3 Tl 3.08, 3 Ce 3.25

Computed properties:
Its volume is 220.1 Å³ per cell. The value obtained for the energy above the most stable polymorph in this dataset is 0.0641 eV per atom. Its formation energy is -0.116 eV/atom. The total energy comes out at -3.673 eV/atom. As for the space group: No. 166.

***

VASP calculation (GGA-PBE) on an optimized crystal structure of Ce5PmTl6.

Unit cell a=4.9653 b=9.1262 c=9.1262 alpha=109.66 beta=105.78 gamma=105.78
With the nearest neighbours (Å) after each atom.
Fractional positions:
Ce 0.0000 0.3343 0.6657  8 Tl 3.41, 4 Ce 3.45-3.50
Ce 0.0000 0.6657 0.3343  8 Tl 3.41, 4 Ce 3.45-3.50
Ce 0.5000 0.1738 0.8262  8 Tl 3.35-3.46, 2 Ce 3.45, 2 Pm 3.59
Ce 0.5000 0.5000 0.5000  8 Tl 3.39-3.41, 4 Ce 3.50
Ce 0.5000 0.8262 0.1738  8 Tl 3.35-3.46, 2 Ce 3.45, 2 Pm 3.59
Tl 0.7472 0.2472 0.2472  2 Pm 3.38, 6 Ce 3.41-3.46, 4 Tl 3.50
Tl 0.7519 0.9170 0.5867  7 Ce 3.35-3.41, 1 Pm 3.37, 4 Tl 3.50-3.55
Tl 0.2528 0.7528 0.7528  2 Pm 3.38, 6 Ce 3.41-3.46, 4 Tl 3.50
Tl 0.2481 0.4133 0.0830  7 Ce 3.35-3.41, 1 Pm 3.37, 4 Tl 3.50-3.55
Tl 0.7519 0.5867 0.9170  7 Ce 3.35-3.41, 1 Pm 3.37, 4 Tl 3.50-3.55
Tl 0.2481 0.0830 0.4133  7 Ce 3.35-3.41, 1 Pm 3.37, 4 Tl 3.50-3.55
Pm 0.0000 0.0000 0.0000  8 Tl 3.37-3.38, 4 Ce 3.59

Computed properties:
Its volume is 343.3 Å³ per cell. Its formation energy is -0.264 eV/atom. The total energy comes out at -4.315 eV/atom. As for the space group: No. 71.